# 1
# meta-GGA SCAN TaCrCo, PBEsol geometry
data_TaCrCo
_symmetry_space_group_name_H-M 'F -4 3 m'
_symmetry_Int_Tables_number 216
_symmetry_space_group_name_Hall 'F -4 2 3'
_cell_length_a 5.622
_cell_length_b 5.622
_cell_length_c 5.622
_cell_angle_alpha 90.00
_cell_angle_beta 90.00
_cell_angle_gamma 90.00
loop_
_atom_site_label
_atom_site_type_symbol
_atom_site_fract_x
_atom_site_fract_y
_atom_site_fract_z
Ta1 Ta 0.000 0.000 0.000
Cr1 Cr 0.250 0.250 0.750
Co1 Co 0.000 0.000 0.500
# N(E_F): 1.35 states/eV per atom
# Energy relative to the elements: 949 meV/atom
# E above lowest polymorph: 3.12 eV/f.u.

---

# 2
# meta-GGA SCAN CrCo2Tc, PBEsol geometry
data_CrCo2Tc
_symmetry_space_group_name_H-M 'R 3 m'
_symmetry_Int_Tables_number 160
_symmetry_space_group_name_Hall 'R 3 -2"'
_cell_length_a 2.5448
_cell_length_b 2.5448
_cell_length_c 24.6904
_cell_angle_alpha 90.00
_cell_angle_beta 90.00
_cell_angle_gamma 120.00
loop_
_atom_site_label
_atom_site_type_symbol
_atom_site_fract_x
_atom_site_fract_y
_atom_site_fract_z
Cr1 Cr 0.0000 0.0000 0.0000
Co1 Co 0.0000 0.0000 0.2560
Co2 Co 0.0000 0.0000 0.5087
Tc1 Tc 0.0000 0.0000 0.7580
# N(E_F): 0.94 states/eV per atom
# Energy relative to the elements: 253 meV/atom
# E above lowest polymorph: 0.54 eV/f.u.

---

# 3
# meta-GGA SCAN Cr2Co2Tc, PBEsol geometry
data_Cr2Co2Tc
_symmetry_space_group_name_H-M 'I 4/m m m'
_symmetry_Int_Tables_number 139
_symmetry_space_group_name_Hall '-I 4 2'
_cell_length_a 3.386
_cell_length_b 3.386
_cell_length_c 10.309
_cell_angle_alpha 90.00
_cell_angle_beta 90.00
_cell_angle_gamma 90.00
loop_
_atom_site_label
_atom_site_type_symbol
_atom_site_fract_x
_atom_site_fract_y
_atom_site_fract_z
Cr1 Cr 0.000 0.500 0.250
Co1 Co 0.000 0.000 0.103
Tc1 Tc 0.000 0.000 0.500
# N(E_F): 0.86 states/eV per atom
# Energy relative to the elements: 553 meV/atom

---

# 4
# meta-GGA SCAN CrCo2Tc, PBEsol geometry
data_CrCo2Tc
_symmetry_space_group_name_H-M 'P 4/m m m'
_symmetry_Int_Tables_number 123
_symmetry_space_group_name_Hall '-P 4 2'
_cell_length_a 3.512
_cell_length_b 3.512
_cell_length_c 3.616
_cell_angle_alpha 90.00
_cell_angle_beta 90.00
_cell_angle_gamma 90.00
loop_
_atom_site_label
_atom_site_type_symbol
_atom_site_fract_x
_atom_site_fract_y
_atom_site_fract_z
Cr1 Cr 0.000 0.000 0.000
Co1 Co 0.000 0.500 0.500
Tc1 Tc 0.500 0.500 0.000
# N(E_F): 0.70 states/eV per atom
# Energy relative to the elements: 118 meV/atom
# E above lowest polymorph: 0.00 eV/f.u.

---

# 5
# meta-GGA SCAN CrCo2Tc, PBEsol geometry
data_CrCo2Tc
_symmetry_space_group_name_H-M 'P m m m'
_symmetry_Int_Tables_number 47
_cell_length_a 2.503
_cell_length_b 3.601
_cell_length_c 4.963
_cell_angle_alpha 90.00
_cell_angle_beta 90.00
_cell_angle_gamma 90.00
loop_
_symmetry_equiv_pos_as_xyz
'x,y,z'
'-x,-y,-z'
'-x,-y,z'
'x,y,-z'
'x,-y,-z'
'-x,y,z'
'-x,y,-z'
'x,-y,z'
loop_
_atom_site_label
_atom_site_type_symbol
_atom_site_fract_x
_atom_site_fract_y
_atom_site_fract_z
Cr1 Cr 0.000 0.000 0.000
Co1 Co 0.500 0.500 0.244
Tc1 Tc 0.000 0.000 0.500
# N(E_F): 0.76 states/eV per atom
# Energy relative to the elements: 174 meV/atom
# E above lowest polymorph: 0.22 eV/f.u.

---

# 6
# meta-GGA SCAN CrCo2Tc, PBEsol geometry
data_CrCo2Tc
_symmetry_space_group_name_H-M 'C m m m'
_symmetry_Int_Tables_number 65
_symmetry_space_group_name_Hall '-C 2 2'
_cell_length_a 4.964
_cell_length_b 7.214
_cell_length_c 2.502
_cell_angle_alpha 90.00
_cell_angle_beta 90.00
_cell_angle_gamma 90.00
loop_
_atom_site_label
_atom_site_type_symbol
_atom_site_fract_x
_atom_site_fract_y
_atom_site_fract_z
Cr1 Cr 0.000 0.000 0.000
Co1 Co 0.250 0.250 0.500
Tc1 Tc 0.000 0.500 0.000
# N(E_F): 0.76 states/eV per atom
# Energy relative to the elements: 173 meV/atom
# E above lowest polymorph: 0.22 eV/f.u.